# ZrNi2H (PBE-GGA, optimized geometry)
data_ZrNi2H
_chemical_formula_sum 'Zr3 Ni6 H3'
_cell_length_a 2.8115
_cell_length_b 2.8115
_cell_length_c 21.0629
_cell_angle_alpha 90.00
_cell_angle_beta 90.00
_cell_angle_gamma 120.00
_space_group_name_H-M_alt 'R -3 m'
_space_group_IT_number 166
_space_group_name_Hall '-R 3 2"'
loop_
_atom_site_label
_atom_site_type_symbol
_atom_site_fract_x
_atom_site_fract_y
_atom_site_fract_z
Zr1 Zr 0.0000 0.0000 0.0000
Ni1 Ni 0.0000 0.0000 0.1196
H1 H 0.0000 0.0000 0.5000
# Excess energy over the best structure of this formula in the dataset (meV/atom): 448
# M_tot (μB/atom): 0.000